Density functional theory data (PBE-GGA) for a geometry-optimized CuSn2Cl8 structure.

Computed properties:
Total energy: -0.1161 Ha/atom
Calculated density: 2.4 g/cm³

The structure in extended XYZ format:
```
11
Lattice="-5.2609 -3.1773 -2.1596 3.5830 -3.8362 -6.1112 1.6818 -7.1260 3.3604" Properties=species:S:1:pos:R:3 pbc="T T T"
Sn 0.5550 -10.8895 -3.6709
Sn -0.5511 -3.2500 -1.2395
Cl 1.6733 -8.2431 1.0755
Cl -1.6695 -5.8964 -5.9858
Cl 1.2808 -4.7847 -1.4048
Cl 2.8504 -10.2819 -2.9991
Cl -1.2769 -9.3548 -3.5056
Cl 2.9192 -6.0873 -5.1311
Cl -2.8465 -3.8576 -1.9113
Cl -2.9153 -8.0522 0.2207
Cu 0.0000 0.0000 0.0000
```